Material: AcNd4DyHo2
Method: DFT, PBE-GGA
State: relaxed

Values from the calculation:
Its total DFT energy (no corrections) is -4.50 eV per atom. As for the space group: Pmmm, No. 47.

Cell and atoms, written as POSCAR:
```
AcNd4DyHo2
1.0
6.003 0.000 0.000
0.000 6.018 0.000
0.000 0.000 7.726
Ac Nd Dy Ho
1 4 1 2
Direct
0.000 0.000 0.000
0.000 0.500 0.269
0.000 0.500 0.731
0.500 0.000 0.269
0.500 0.000 0.731
0.500 0.500 0.500
0.000 0.000 0.500
0.500 0.500 0.000
```

=====

Material: AcNd6DyHo2
Method: DFT, PBE-GGA
State: relaxed

Values from the calculation:
Its total DFT energy (no corrections) is -4.53 eV per atom. As for the space group: C2/c, No. 15.

Cell and atoms, written as POSCAR:
```
AcNd6DyHo2
1.0
4.709 -7.739 0.000
4.709 7.739 0.000
-1.008 0.000 9.716
Ac Nd Dy Ho
2 12 2 4
Direct
0.029 0.971 0.750
0.971 0.029 0.250
0.008 0.554 0.683
0.121 0.754 0.054
0.246 0.879 0.446
0.291 0.511 0.882
0.446 0.992 0.817
0.489 0.709 0.618
0.511 0.291 0.382
0.554 0.008 0.183
0.709 0.489 0.118
0.754 0.121 0.554
0.879 0.246 0.946
0.992 0.446 0.317
0.412 0.588 0.250
0.588 0.412 0.750
0.205 0.313 0.548
0.313 0.205 0.048
0.687 0.795 0.952
0.795 0.687 0.452
```

=====

Material: AcNd2Dy2Ho2
Method: DFT, PBE-GGA
State: relaxed

Values from the calculation:
Its total DFT energy (no corrections) is -4.53 eV per atom. As for the space group: C2/m, No. 12.

Cell and atoms, written as POSCAR:
```
AcNd2Dy2Ho2
1.0
11.537 0.000 0.000
0.000 5.148 0.000
-1.188 0.000 8.064
Ac Nd Dy Ho
2 4 4 4
Direct
0.000 0.000 0.000
0.500 0.500 0.000
0.215 0.500 0.151
0.285 0.000 0.849
0.715 0.000 0.151
0.785 0.500 0.849
0.142 0.000 0.433
0.358 0.500 0.567
0.642 0.500 0.433
0.858 0.000 0.567
0.074 0.500 0.706
0.426 0.000 0.294
0.574 0.000 0.706
0.926 0.500 0.294
```

=====

Material: AcNd3Dy6Ho2
Method: DFT, PBE-GGA
State: relaxed

Values from the calculation:
Its total DFT energy (no corrections) is -4.57 eV per atom. As for the space group: C2/m, No. 12.

Cell and atoms, written as POSCAR:
```
AcNd3Dy6Ho2
1.0
3.128 -5.417 0.000
3.128 5.417 0.000
-2.080 0.000 11.756
Ac Nd Dy Ho
1 3 6 2
Direct
0.000 0.000 0.000
0.167 0.833 0.500
0.500 0.500 0.500
0.833 0.167 0.500
0.084 0.420 0.251
0.253 0.253 0.749
0.420 0.084 0.251
0.580 0.916 0.749
0.747 0.747 0.251
0.916 0.580 0.749
0.333 0.667 0.000
0.667 0.333 0.000
```

=====

Material: AcNd2Dy5Ho
Method: DFT, PBE-GGA
State: relaxed

Values from the calculation:
Its total DFT energy (no corrections) is -4.32 eV per atom. As for the space group: I4/mcm, No. 140.

Cell and atoms, written as POSCAR:
```
AcNd2Dy5Ho
1.0
-4.428 4.428 7.809
4.428 -4.428 7.809
4.428 4.428 -7.809
Ac Nd Dy Ho
2 4 10 2
Direct
0.250 0.250 0.000
0.750 0.750 0.000
0.117 0.617 0.734
0.383 0.117 0.500
0.617 0.883 0.500
0.883 0.383 0.266
0.000 0.000 0.000
0.073 0.160 0.500
0.160 0.660 0.087
0.340 0.427 0.500
0.427 0.927 0.087
0.500 0.500 0.000
0.573 0.073 0.913
0.660 0.573 0.500
0.840 0.340 0.913
0.927 0.840 0.500
0.250 0.750 0.500
0.750 0.250 0.500
```

=====

Material: Ac2NdDyHo
Method: DFT, PBE-GGA
State: relaxed

Values from the calculation:
Its total DFT energy (no corrections) is -4.16 eV per atom. As for the space group: Pmma, No. 51.

Cell and atoms, written as POSCAR:
```
Ac2NdDyHo
1.0
6.448 0.000 0.000
0.000 9.031 0.000
0.000 0.000 6.684
Ac Nd Dy Ho
4 2 2 2
Direct
0.250 0.202 0.212
0.250 0.798 0.212
0.750 0.202 0.788
0.750 0.798 0.788
0.250 0.500 0.921
0.750 0.500 0.079
0.250 0.000 0.684
0.750 0.000 0.316
0.000 0.500 0.500
0.500 0.500 0.500
```

=====

Number 1: energy relative to the elements 2.8 kcal/mol of atoms. Number 2: energy relative to the elements 2.8 kcal/mol of atoms. Number 3: energy relative to the elements 1.0 kcal/mol of atoms. Number 4: energy relative to the elements 0.6 kcal/mol of atoms. Number 5: energy relative to the elements 6.0 kcal/mol of atoms. Number 6: energy relative to the elements 6.3 kcal/mol of atoms.